Record 1
A geometry-optimized ZnFe2WO6 structure. Source: Alexandria via LeMat-Bulk, functional PBE with a Hubbard U.

Unit cell a=5.2570 b=5.2934 c=5.5605 alpha=113.09 beta=95.23 gamma=117.96
Fractional positions:
Zn  0.0000  0.0000  0.0000
Fe  0.2672  0.4963  0.7997
Fe  0.7764  0.5117  0.3189
W  0.4751  0.9179  0.4118
O  0.0874  0.7362  0.1216
O  0.2118  0.7080  0.5843
O  0.3814  0.4434  0.1365
O  0.5377  0.3296  0.6000
O  0.6782  0.0216  0.1505
O  0.8396  0.0009  0.6327

Calculated values
**Final energy**: -6.586 eV/atom
**Spin magnetization**: 8.0 μB per cell
**Theoretical density**: 6.41 g/cm³
**Symmetry**: P1 (1)



Record 2
A geometry-optimized YFe3O structure. Source: Alexandria via LeMat-Bulk, functional PBE with a Hubbard U.

Unit cell a=5.3468 b=5.3468 c=5.3468 alpha=90.00 beta=90.00 gamma=90.00
Fractional positions:
Y  0.0000  0.0000  0.0000
Fe  0.0000  0.0000  0.5000
Fe  0.0000  0.5000  0.0000
Fe  0.5000  0.0000  0.0000
O  0.5000  0.5000  0.5000

Calculated values
**Final energy**: -3.467 eV/atom
**Spin magnetization**: 11.0 μB per cell
**Theoretical density**: 2.96 g/cm³
**Energy relative to the lowest polymorph listed for this composition**: 2127 meV per atom
**Symmetry**: Pm-3m (221)



Record 3
A geometry-optimized YFeO2 structure. Source: Alexandria via LeMat-Bulk, functional PBE with a Hubbard U.

Unit cell a=6.2647 b=6.2647 c=6.2647 alpha=133.66 beta=133.66 gamma=67.62
Fractional positions:
Y  0.0000  0.0000  0.0000
Y  0.7500  0.2500  0.5000
Fe  0.2500  0.7500  0.5000
Fe  0.5000  0.5000  0.0000
O  0.1401  0.6250  0.0151
O  0.3750  0.3901  0.5151
O  0.6099  0.1250  0.9849
O  0.8750  0.8599  0.4849

Calculated values
**Final energy**: -7.485 eV/atom
**Spin magnetization**: 6.5 μB per cell
**Theoretical density**: 4.64 g/cm³
**Energy relative to the lowest polymorph listed for this composition**: 181 meV per atom
**Symmetry**: I-42d (122)